LaPaCr: optimized geometry, PBE-GGA.

Formation enthalpy at 0 K in eV/atom: 0.293
SG: P2_1/c (14)
Size of the total moment in μB/cell: 0.00

Unit cell a=7.637 b=6.689 c=6.129 alpha=90.00 beta=93.91 gamma=90.00
Sites, in units of the cell vectors:
La (0.150, 0.066, 0.271)
La (0.150, 0.434, 0.771)
La (0.850, 0.566, 0.229)
La (0.850, 0.934, 0.729)
Pa (0.354, 0.568, 0.305)
Pa (0.354, 0.932, 0.805)
Pa (0.646, 0.068, 0.195)
Pa (0.646, 0.432, 0.695)
Cr (0.448, 0.213, 0.539)
Cr (0.448, 0.287, 0.039)
Cr (0.552, 0.713, 0.961)
Cr (0.552, 0.787, 0.461)